# Fe2CoNi meta-GGA SCAN PBEsol geometry
data_Fe2CoNi
_chemical_formula_sum 'Fe2 Co1 Ni1'
_cell_length_a 2.409
_cell_length_b 3.908
_cell_length_c 4.685
_cell_angle_alpha 90.00
_cell_angle_beta 100.46
_cell_angle_gamma 90.00
_space_group_name_H-M_alt 'P 1'
_space_group_IT_number 1
loop_
_space_group_symop_operation_xyz
'x,y,z'
loop_
_atom_site_label
_atom_site_fract_x
_atom_site_fract_y
_atom_site_fract_z
_atom_site_occupancy
Co1 0.000 0.500 0.500 1
Ni1 0.500 0.500 0.000 1
Fe1 0.236 0.000 0.252 1
Fe2 0.764 0.000 0.748 1
# calculated formation energy: -0.09 eV per atom

# RbCo2As2 meta-GGA SCAN PBEsol geometry
data_RbCo2As2
_chemical_formula_sum 'Rb1 Co2 As2'
_cell_length_a 3.724
_cell_length_b 3.724
_cell_length_c 7.538
_cell_angle_alpha 104.30
_cell_angle_beta 104.30
_cell_angle_gamma 90.00
_space_group_name_H-M_alt 'P 1'
_space_group_IT_number 1
loop_
_space_group_symop_operation_xyz
'x,y,z'
loop_
_atom_site_label
_atom_site_fract_x
_atom_site_fract_y
_atom_site_fract_z
_atom_site_occupancy
Co1 0.250 0.750 0.500 1
As1 0.344 0.344 0.687 1
Co2 0.750 0.250 0.500 1
Rb1 0.000 0.000 0.000 1
As2 0.656 0.656 0.313 1
# calculated formation energy: -0.39 eV per atom

# InCu2Pt meta-GGA SCAN PBEsol geometry
data_InCu2Pt
_chemical_formula_sum 'In1 Cu2 Pt1'
_cell_length_a 4.354
_cell_length_b 4.354
_cell_length_c 4.354
_cell_angle_alpha 60.00
_cell_angle_beta 60.00
_cell_angle_gamma 60.00
_space_group_name_H-M_alt 'P 1'
_space_group_IT_number 1
loop_
_space_group_symop_operation_xyz
'x,y,z'
loop_
_atom_site_label
_atom_site_fract_x
_atom_site_fract_y
_atom_site_fract_z
_atom_site_occupancy
Cu1 0.750 0.750 0.750 1
Cu2 0.000 0.000 0.000 1
In1 0.500 0.500 0.500 1
Pt1 0.250 0.250 0.250 1
# calculated formation energy: -0.19 eV per atom

# LiY2 meta-GGA SCAN PBEsol geometry
data_LiY2
_chemical_formula_sum 'Li2 Y4'
_cell_length_a 3.648
_cell_length_b 6.437
_cell_length_c 7.631
_cell_angle_alpha 107.45
_cell_angle_beta 90.00
_cell_angle_gamma 106.46
_space_group_name_H-M_alt 'P 1'
_space_group_IT_number 1
loop_
_space_group_symop_operation_xyz
'x,y,z'
loop_
_atom_site_label
_atom_site_fract_x
_atom_site_fract_y
_atom_site_fract_z
_atom_site_occupancy
Li1 0.693 0.386 0.358 1
Y1 0.361 0.722 0.722 1
Li2 0.028 0.057 0.086 1
Y2 0.675 0.349 0.904 1
Y3 0.361 0.722 0.223 1
Y4 0.048 0.096 0.541 1
# calculated formation energy: 0.13 eV per atom

# Mg2AlSi meta-GGA SCAN PBEsol geometry
data_Mg2AlSi
_chemical_formula_sum 'Mg2 Al1 Si1'
_cell_length_a 3.275
_cell_length_b 3.275
_cell_length_c 7.029
_cell_angle_alpha 90.00
_cell_angle_beta 90.00
_cell_angle_gamma 90.00
_space_group_name_H-M_alt 'P 1'
_space_group_IT_number 1
loop_
_space_group_symop_operation_xyz
'x,y,z'
loop_
_atom_site_label
_atom_site_fract_x
_atom_site_fract_y
_atom_site_fract_z
_atom_site_occupancy
Mg1 0.500 0.500 0.284 1
Al1 0.500 0.500 0.713 1
Mg2 0.000 0.000 0.976 1
Si1 0.000 0.000 0.527 1
# energy relative to the elements, uncorrected: 0.14 eV per atom

# In2MoAs meta-GGA SCAN PBEsol geometry
data_In2MoAs
_chemical_formula_sum 'In2 Mo1 As1'
_cell_length_a 3.671
_cell_length_b 4.026
_cell_length_c 5.722
_cell_angle_alpha 110.60
_cell_angle_beta 90.00
_cell_angle_gamma 90.00
_space_group_name_H-M_alt 'P 1'
_space_group_IT_number 1
loop_
_space_group_symop_operation_xyz
'x,y,z'
loop_
_atom_site_label
_atom_site_fract_x
_atom_site_fract_y
_atom_site_fract_z
_atom_site_occupancy
In1 0.000 0.097 0.193 1
In2 0.500 0.405 0.811 1
As1 0.500 0.668 0.337 1
Mo1 0.000 0.828 0.656 1
# calculated formation energy: 0.10 eV per atom

# Y2Mo meta-GGA SCAN PBEsol geometry
data_Y2Mo
_chemical_formula_sum 'Y4 Mo2'
_cell_length_a 3.563
_cell_length_b 5.130
_cell_length_c 8.231
_cell_angle_alpha 90.00
_cell_angle_beta 102.50
_cell_angle_gamma 90.00
_space_group_name_H-M_alt 'P 1'
_space_group_IT_number 1
loop_
_space_group_symop_operation_xyz
'x,y,z'
loop_
_atom_site_label
_atom_site_fract_x
_atom_site_fract_y
_atom_site_fract_z
_atom_site_occupancy
Y1 0.666 0.000 0.332 1
Y2 0.123 0.500 0.247 1
Y3 0.803 0.500 0.607 1
Y4 0.461 0.500 0.922 1
Mo1 0.943 0.000 0.887 1
Mo2 0.336 0.000 0.673 1
# calculated formation energy: 0.35 eV per atom

# Be22Re meta-GGA SCAN PBEsol geometry
data_Be22Re
_chemical_formula_sum 'Be44 Re2'
_cell_length_a 8.101
_cell_length_b 8.101
_cell_length_c 8.101
_cell_angle_alpha 60.00
_cell_angle_beta 60.00
_cell_angle_gamma 60.00
_space_group_name_H-M_alt 'P 1'
_space_group_IT_number 1
loop_
_space_group_symop_operation_xyz
'x,y,z'
loop_
_atom_site_label
_atom_site_fract_x
_atom_site_fract_y
_atom_site_fract_z
_atom_site_occupancy
Be1 0.301 0.830 0.568 1
Be2 0.568 0.301 0.301 1
Be3 0.949 0.420 0.949 1
Be4 0.420 0.949 0.682 1
Be5 0.135 0.865 0.135 1
Be6 0.949 0.949 0.420 1
Be7 0.625 0.625 0.125 1
Be8 0.125 0.625 0.625 1
Be9 0.115 0.385 0.115 1
Be10 0.420 0.949 0.949 1
Be11 0.865 0.865 0.135 1
Re1 0.500 0.500 0.500 1
Be12 0.830 0.301 0.301 1
Be13 0.385 0.385 0.115 1
Be14 0.682 0.949 0.420 1
Be15 0.115 0.385 0.385 1
Be16 0.949 0.682 0.949 1
Be17 0.420 0.682 0.949 1
Be18 0.125 0.125 0.625 1
Be19 0.115 0.115 0.385 1
Be20 0.301 0.301 0.568 1
Be21 0.135 0.135 0.865 1
Be22 0.682 0.420 0.949 1
Be23 0.625 0.125 0.125 1
Be24 0.568 0.830 0.301 1
Be25 0.125 0.125 0.125 1
Be26 0.865 0.135 0.865 1
Be27 0.385 0.115 0.385 1
Be28 0.830 0.568 0.301 1
Be29 0.568 0.301 0.830 1
Be30 0.865 0.135 0.135 1
Be31 0.301 0.830 0.301 1
Be32 0.385 0.115 0.115 1
Be33 0.949 0.949 0.682 1
Be34 0.830 0.301 0.568 1
Be35 0.301 0.568 0.301 1
Be36 0.625 0.125 0.625 1
Re2 0.750 0.750 0.750 1
Be37 0.301 0.568 0.830 1
Be38 0.949 0.682 0.420 1
Be39 0.135 0.865 0.865 1
Be40 0.682 0.949 0.949 1
Be41 0.625 0.625 0.625 1
Be42 0.949 0.420 0.682 1
Be43 0.301 0.301 0.830 1
Be44 0.125 0.625 0.125 1
# calculated formation energy: -0.05 eV per atom

# Ba2Li2Tl meta-GGA SCAN PBEsol geometry
data_Ba2Li2Tl
_chemical_formula_sum 'Ba2 Li2 Tl1'
_cell_length_a 4.085
_cell_length_b 4.085
_cell_length_c 11.098
_cell_angle_alpha 100.61
_cell_angle_beta 100.61
_cell_angle_gamma 90.00
_space_group_name_H-M_alt 'P 1'
_space_group_IT_number 1
loop_
_space_group_symop_operation_xyz
'x,y,z'
loop_
_atom_site_label
_atom_site_fract_x
_atom_site_fract_y
_atom_site_fract_z
_atom_site_occupancy
Ba1 0.599 0.599 0.199 1
Li1 0.750 0.250 0.500 1
Tl1 0.000 0.000 0.000 1
Li2 0.250 0.750 0.500 1
Ba2 0.401 0.401 0.801 1
# calculated formation energy: -0.21 eV per atom

# Hg3PW meta-GGA SCAN PBEsol geometry
data_Hg3PW
_chemical_formula_sum 'Hg3 P1 W1'
_cell_length_a 5.225
_cell_length_b 5.225
_cell_length_c 5.225
_cell_angle_alpha 90.00
_cell_angle_beta 90.00
_cell_angle_gamma 90.00
_space_group_name_H-M_alt 'P 1'
_space_group_IT_number 1
loop_
_space_group_symop_operation_xyz
'x,y,z'
loop_
_atom_site_label
_atom_site_fract_x
_atom_site_fract_y
_atom_site_fract_z
_atom_site_occupancy
Hg1 0.000 0.500 0.000 1
W1 0.000 0.000 0.000 1
Hg2 0.000 0.000 0.500 1
Hg3 0.500 0.000 0.000 1
P1 0.500 0.500 0.500 1
# calculated formation energy: 1.48 eV per atom

# Zr3BiO meta-GGA SCAN PBEsol geometry
data_Zr3BiO
_chemical_formula_sum 'Zr3 Bi1 O1'
_cell_length_a 4.492
_cell_length_b 4.492
_cell_length_c 4.492
_cell_angle_alpha 90.00
_cell_angle_beta 90.00
_cell_angle_gamma 90.00
_space_group_name_H-M_alt 'P 1'
_space_group_IT_number 1
loop_
_space_group_symop_operation_xyz
'x,y,z'
loop_
_atom_site_label
_atom_site_fract_x
_atom_site_fract_y
_atom_site_fract_z
_atom_site_occupancy
Bi1 0.500 0.500 0.500 1
Zr1 0.000 0.500 0.000 1
O1 0.000 0.000 0.000 1
Zr2 0.500 0.000 0.000 1
Zr3 0.000 0.000 0.500 1
# energy relative to the elements, uncorrected: -1.17 eV per atom

# PAu2 meta-GGA SCAN PBEsol geometry
data_PAu2
_chemical_formula_sum 'P2 Au4'
_cell_length_a 3.120
_cell_length_b 3.120
_cell_length_c 10.815
_cell_angle_alpha 98.29
_cell_angle_beta 98.29
_cell_angle_gamma 90.00
_space_group_name_H-M_alt 'P 1'
_space_group_IT_number 1
loop_
_space_group_symop_operation_xyz
'x,y,z'
loop_
_atom_site_label
_atom_site_fract_x
_atom_site_fract_y
_atom_site_fract_z
_atom_site_occupancy
Au1 0.428 0.428 0.857 1
Au2 0.678 0.178 0.357 1
Au3 0.822 0.322 0.643 1
Au4 0.572 0.572 0.143 1
P1 0.000 0.000 0.000 1
P2 0.250 0.750 0.500 1
# calculated formation energy: 0.39 eV per atom

# ZnHgW2 meta-GGA SCAN PBEsol geometry
data_ZnHgW2
_chemical_formula_sum 'Zn1 Hg1 W2'
_cell_length_a 2.717
_cell_length_b 4.192
_cell_length_c 5.759
_cell_angle_alpha 90.00
_cell_angle_beta 90.00
_cell_angle_gamma 90.00
_space_group_name_H-M_alt 'P 1'
_space_group_IT_number 1
loop_
_space_group_symop_operation_xyz
'x,y,z'
loop_
_atom_site_label
_atom_site_fract_x
_atom_site_fract_y
_atom_site_fract_z
_atom_site_occupancy
W1 0.500 0.500 0.240 1
Zn1 0.000 0.000 0.494 1
W2 0.000 0.000 0.028 1
Hg1 0.500 0.500 0.737 1
# calculated formation energy: 0.60 eV per atom

# Co2SiB meta-GGA SCAN PBEsol geometry
data_Co2SiB
_chemical_formula_sum 'Co2 Si1 B1'
_cell_length_a 3.705
_cell_length_b 3.705
_cell_length_c 3.705
_cell_angle_alpha 60.00
_cell_angle_beta 60.00
_cell_angle_gamma 60.00
_space_group_name_H-M_alt 'P 1'
_space_group_IT_number 1
loop_
_space_group_symop_operation_xyz
'x,y,z'
loop_
_atom_site_label
_atom_site_fract_x
_atom_site_fract_y
_atom_site_fract_z
_atom_site_occupancy
Co1 0.750 0.750 0.750 1
Co2 0.250 0.250 0.250 1
Si1 0.500 0.500 0.500 1
B1 0.000 0.000 0.000 1
# energy relative to the elements, uncorrected: -0.14 eV per atom

# Al2CdW meta-GGA SCAN PBEsol geometry
data_Al2CdW
_chemical_formula_sum 'Al2 Cd1 W1'
_cell_length_a 2.791
_cell_length_b 2.791
_cell_length_c 8.655
_cell_angle_alpha 90.00
_cell_angle_beta 90.00
_cell_angle_gamma 90.00
_space_group_name_H-M_alt 'P 1'
_space_group_IT_number 1
loop_
_space_group_symop_operation_xyz
'x,y,z'
loop_
_atom_site_label
_atom_site_fract_x
_atom_site_fract_y
_atom_site_fract_z
_atom_site_occupancy
W1 0.500 0.500 0.500 1
Al1 0.000 0.000 0.727 1
Cd1 0.500 0.500 0.000 1
Al2 0.000 0.000 0.273 1
# calculated formation energy: 0.15 eV per atom

# MnOF meta-GGA SCAN PBEsol geometry
data_MnOF
_chemical_formula_sum 'Mn8 O8 F8'
_cell_length_a 4.557
_cell_length_b 4.557
_cell_length_c 12.302
_cell_angle_alpha 89.99
_cell_angle_beta 89.99
_cell_angle_gamma 90.10
_space_group_name_H-M_alt 'P 1'
_space_group_IT_number 1
loop_
_space_group_symop_operation_xyz
'x,y,z'
loop_
_atom_site_label
_atom_site_fract_x
_atom_site_fract_y
_atom_site_fract_z
_atom_site_occupancy
F1 0.211 0.789 0.500 1
O1 0.664 0.687 0.874 1
O2 0.818 0.182 0.500 1
Mn1 0.024 0.041 0.125 1
O3 0.694 0.669 0.376 1
Mn2 0.524 0.482 0.250 1
Mn3 0.015 0.045 0.626 1
Mn4 0.518 0.476 0.750 1
F2 0.210 0.783 0.260 1
F3 0.765 0.235 0.000 1
F4 0.263 0.283 0.873 1
O4 0.817 0.187 0.250 1
Mn5 0.959 0.976 0.875 1
F5 0.735 0.713 0.623 1
Mn6 0.461 0.539 0.000 1
F6 0.217 0.790 0.740 1
Mn7 0.955 0.985 0.374 1
O5 0.331 0.306 0.624 1
Mn8 0.522 0.478 0.500 1
F7 0.287 0.265 0.377 1
O6 0.313 0.336 0.126 1
O7 0.813 0.183 0.750 1
O8 0.169 0.831 0.000 1
F8 0.717 0.737 0.127 1
# energy relative to the elements, uncorrected: -2.47 eV per atom

# Sr2Be2Cu meta-GGA SCAN PBEsol geometry
data_Sr2Be2Cu
_chemical_formula_sum 'Sr2 Be2 Cu1'
_cell_length_a 3.359
_cell_length_b 3.359
_cell_length_c 9.791
_cell_angle_alpha 99.88
_cell_angle_beta 99.88
_cell_angle_gamma 90.00
_space_group_name_H-M_alt 'P 1'
_space_group_IT_number 1
loop_
_space_group_symop_operation_xyz
'x,y,z'
loop_
_atom_site_label
_atom_site_fract_x
_atom_site_fract_y
_atom_site_fract_z
_atom_site_occupancy
Cu1 0.000 0.000 0.000 1
Sr1 0.397 0.397 0.794 1
Sr2 0.603 0.603 0.206 1
Be1 0.750 0.250 0.500 1
Be2 0.250 0.750 0.500 1
# calculated formation energy: 0.53 eV per atom

# Ca2AsBr meta-GGA SCAN PBEsol geometry
data_Ca2AsBr
_chemical_formula_sum 'Ca2 As1 Br1'
_cell_length_a 5.129
_cell_length_b 5.151
_cell_length_c 5.151
_cell_angle_alpha 60.28
_cell_angle_beta 60.14
_cell_angle_gamma 60.14
_space_group_name_H-M_alt 'P 1'
_space_group_IT_number 1
loop_
_space_group_symop_operation_xyz
'x,y,z'
loop_
_atom_site_label
_atom_site_fract_x
_atom_site_fract_y
_atom_site_fract_z
_atom_site_occupancy
Ca1 0.250 0.750 0.750 1
Ca2 0.750 0.250 0.250 1
Br1 0.500 0.000 0.000 1
As1 0.000 0.500 0.500 1
# energy relative to the elements, uncorrected: -1.47 eV per atom

# LiMnZn meta-GGA SCAN PBEsol geometry
data_LiMnZn
_chemical_formula_sum 'Li1 Mn1 Zn1'
_cell_length_a 3.090
_cell_length_b 3.090
_cell_length_c 4.838
_cell_angle_alpha 108.62
_cell_angle_beta 108.62
_cell_angle_gamma 90.00
_space_group_name_H-M_alt 'P 1'
_space_group_IT_number 1
loop_
_space_group_symop_operation_xyz
'x,y,z'
loop_
_atom_site_label
_atom_site_fract_x
_atom_site_fract_y
_atom_site_fract_z
_atom_site_occupancy
Li1 0.995 0.995 0.991 1
Zn1 0.333 0.333 0.667 1
Mn1 0.671 0.671 0.343 1
# calculated formation energy: -0.07 eV per atom

# YMn2P meta-GGA SCAN PBEsol geometry
data_YMn2P
_chemical_formula_sum 'Y1 Mn2 P1'
_cell_length_a 3.144
_cell_length_b 5.209
_cell_length_c 5.209
_cell_angle_alpha 54.33
_cell_angle_beta 72.43
_cell_angle_gamma 72.43
_space_group_name_H-M_alt 'P 1'
_space_group_IT_number 1
loop_
_space_group_symop_operation_xyz
'x,y,z'
loop_
_atom_site_label
_atom_site_fract_x
_atom_site_fract_y
_atom_site_fract_z
_atom_site_occupancy
Mn1 0.199 0.801 0.801 1
Y1 0.000 0.500 0.500 1
Mn2 0.801 0.199 0.199 1
P1 0.500 0.000 0.000 1
# calculated formation energy: -0.32 eV per atom